Entry from the Alexandria database: a relaxed ScAlTl2 crystal (GGA-PBEsol).

For the volume, the calculation gives 184.97 Å³/cell. As for the spin magnetization: 0.0 Bohr magnetons per cell. As for the relative energy among the computed polymorphs: 229 meV/atom. As for the formation enthalpy at 0 K: 95.5 meV per atom. The density comes out at 8.63 g/cm3.

The space group is Cmmm (No. 65) and the conventional cell measures 3.482, 5.519 and 9.626 Å, with angles of 90.00, 90.00 and 90.00 degrees. Symmetry generates all atoms from Sc at (0.000, 0.000, 0.000), Al at (0.000, 0.000, 0.500) and Tl at (0.000, 0.500, 0.258).